(1)
Computed, not measured: GaSbO4 after structural relaxation at the GGA-PBEsol level of DFT.

Computed properties:
ΔE_f (raw)   -1.6470 eV per atom
SG   Cmmm, No. 65

Cell lengths 3.077, 4.609, 4.609 Å; angles 92.12, 90.00, 90.00 degrees
Fractional positions:
O (0.500, 0.805, 0.195)
O (0.500, 0.195, 0.805)
O (0.000, 0.308, 0.308)
O (0.000, 0.692, 0.692)
Sb (0.000, 0.000, 0.000)
Ga (0.500, 0.500, 0.500)


(2)
Computed, not measured: GaSbO2 after structural relaxation at the GGA-PBEsol level of DFT.

Computed properties:
ΔE_f (raw)   -0.4183 eV per atom
SG   Fm-3m, No. 225

Cell lengths 4.178, 4.178, 4.178 Å; angles 60.00, 60.00, 60.00 degrees
Fractional positions:
Sb (0.500, 0.500, 0.500)
O (0.250, 0.250, 0.250)
O (0.750, 0.750, 0.750)
Ga (0.000, 0.000, 0.000)


(3)
Computed, not measured: Ga3SbO after structural relaxation at the GGA-PBEsol level of DFT.

Computed properties:
ΔE_f (raw)   0.9930 eV per atom
SG   Pm-3m, No. 221

Cell lengths 5.291, 5.291, 5.291 Å; angles 90.00, 90.00, 90.00 degrees
Fractional positions:
O (0.500, 0.500, 0.500)
Ga (0.500, 0.000, 0.000)
Ga (0.000, 0.000, 0.500)
Ga (0.000, 0.500, 0.000)
Sb (0.000, 0.000, 0.000)


(4)
Computed, not measured: Sr2GaSbO6 after structural relaxation at the GGA-PBEsol level of DFT.

Computed properties:
ΔE_f (raw)   -2.2716 eV per atom
SG   Fm-3m, No. 225

Cell lengths 5.573, 5.573, 5.573 Å; angles 60.00, 60.00, 60.00 degrees
Fractional positions:
O (0.249, 0.249, 0.751)
O (0.751, 0.249, 0.751)
O (0.249, 0.751, 0.751)
O (0.751, 0.751, 0.249)
O (0.751, 0.249, 0.249)
O (0.249, 0.751, 0.249)
Ga (0.000, 0.000, 0.000)
Sb (0.500, 0.500, 0.500)
Sr (0.250, 0.250, 0.250)
Sr (0.750, 0.750, 0.750)